a.
A plane-wave DFT calculation with PBE-GGA was carried out for crystalline SiTeAs2 at its relaxed geometry.

Cell lengths 2.9475, 2.9475, 10.1840 Å; angles 90.00, 90.00, 106.50 degrees
Closest atoms and distances in Å follow each position.
Fractional positions:
Te 0.5000 0.5000 0.7403  4 Te 2.95, 2 Si 3.29
Si 0.0000 0.0000 0.4674  2 As 2.72, 4 Si 2.95
As 0.5000 0.5000 0.2637  2 Si 2.72, 6 As 2.95-2.97
As 0.0000 0.0000 0.0286  6 As 2.95-2.97

Values from the calculation:
SG: Cmm2 (35)
size of the total moment: 0.0000 μB per atom

=====

b.
A plane-wave DFT calculation with PBE-GGA was carried out for crystalline SiTeAs2 at its relaxed geometry.

Cell lengths 3.9521, 3.9533, 5.8443 Å; angles 90.00, 90.00, 90.00 degrees
Closest atoms and distances in Å follow each position.
Fractional positions:
Si 0.0000 0.0000 0.5721  1 As 2.44
As 0.0000 0.0000 0.1542  1 Si 2.44
As 0.5000 0.5000 0.1272  4 As 2.80, 2 Te 2.81-3.04
Te 0.5000 0.5000 0.6465  2 As 2.81-3.04, 4 Si 2.83

Values from the calculation:
SG: P4mm (99)
size of the total moment: 0.0000 μB per atom

=====

Energy ordering: b at the bottom, the next structure 0.344 eV/atom above.

=====

a.
A plane-wave DFT calculation with PBE-GGA was carried out for crystalline SiTeAs2 at its relaxed geometry.

Cell lengths 3.8270, 4.6135, 5.4016 Å; angles 69.53, 90.00, 90.00 degrees
Closest atoms and distances in Å follow each position.
Fractional positions:
As 0.0000 0.0042 0.0642  1 As 2.50, 2 Si 2.60
As 0.0000 0.4958 0.4358  1 As 2.50, 2 Si 2.60
Te 0.5000 0.7500 0.7500  2 Si 2.87, 4 As 3.05
Si 0.5000 0.2500 0.2500  4 As 2.60, 2 Te 2.87

Values from the calculation:
SG: P2/m (10)
size of the total moment: 0.0000 μB per atom

=====

b.
A plane-wave DFT calculation with PBE-GGA was carried out for crystalline SiTeAs2 at its relaxed geometry.

Cell lengths 3.2623, 3.2622, 8.4534 Å; angles 90.00, 90.00, 90.00 degrees
Closest atoms and distances in Å follow each position.
Fractional positions:
Te 0.5000 0.5000 0.7500  4 Te 3.26
As 0.0000 0.0000 0.0919  4 Si 2.67, 1 As 2.67
As 0.0000 0.0000 0.4081  4 Si 2.67, 1 As 2.67
Si 0.5000 0.5000 0.2500  8 As 2.67

Values from the calculation:
SG: P4/mmm (123)
size of the total moment: 0.0000 μB per atom

=====

Energy ordering: a at the bottom, the next structure 0.162 eV/atom above.

=====

a.
A plane-wave DFT calculation with PBE-GGA was carried out for crystalline SiTeAs2 at its relaxed geometry.

Cell lengths 4.9156, 4.9156, 4.9156 Å; angles 121.14, 121.14, 88.04 degrees
Closest atoms and distances in Å follow each position.
Fractional positions:
Si 0.5000 0.5000 0.0000  4 Te 2.99, 4 As 2.99
Te 0.7500 0.2500 0.5000  4 As 2.99, 4 Si 2.99
As 0.2500 0.7500 0.5000  4 As 2.99, 4 Si 2.99
As 0.0000 0.0000 0.0000  4 As 2.99, 4 Te 2.99

Values from the calculation:
SG: I-4m2 (119)
size of the total moment: 0.0000 μB per atom

=====

b.
A plane-wave DFT calculation with PBE-GGA was carried out for crystalline SiTeAs2 at its relaxed geometry.

Cell lengths 3.2924, 3.2924, 8.2067 Å; angles 90.00, 90.00, 90.00 degrees
Closest atoms and distances in Å follow each position.
Fractional positions:
Si 0.0000 0.0000 0.4359  5 As 2.76-2.90
Te 0.5000 0.5000 0.7253  4 Te 3.29, 4 Si 3.33
As 0.0000 0.0000 0.0830  4 As 2.73, 1 Si 2.90
As 0.5000 0.5000 0.2558  4 As 2.73, 4 Si 2.76

Values from the calculation:
SG: P4mm (99)
size of the total moment: 0.0000 μB per atom

=====

c.
A plane-wave DFT calculation with PBE-GGA was carried out for crystalline SiTeAs2 at its relaxed geometry.

Cell lengths 3.7703, 4.7738, 5.6939 Å; angles 70.66, 90.00, 90.00 degrees
Closest atoms and distances in Å follow each position.
Fractional positions:
Te 0.5000 0.7099 0.7074  2 Si 2.69, 1 As 2.86
As 0.5000 0.2274 0.2740  2 As 2.57, 2 Si 2.79, 1 Te 2.86
As 0.0000 0.0139 0.0776  1 Si 2.48, 2 As 2.57
Si 0.0000 0.5488 0.4410  1 As 2.48, 2 Te 2.69

Values from the calculation:
SG: Pm (6)
size of the total moment: 0.0000 μB per atom

=====

d.
A plane-wave DFT calculation with PBE-GGA was carried out for crystalline SiTeAs2 at its relaxed geometry.

Cell lengths 6.0194, 6.0194, 4.1343 Å; angles 98.49, 98.49, 37.87 degrees
Closest atoms and distances in Å follow each position.
Fractional positions:
As 0.9775 0.9775 0.9311  2 As 2.56, 1 Si 2.58
As 0.5225 0.5225 0.5689  2 As 2.56, 1 Si 2.58
Si 0.7500 0.7500 0.7500  2 As 2.58, 4 Te 2.84
Te 0.2500 0.2500 0.2500  4 Si 2.84, 2 As 3.18

Values from the calculation:
SG: C2/m (12)
size of the total moment: 0.0000 μB per atom

=====

Energy ordering: d at the bottom, the next structure 0.040 eV/atom above.

=====

a.
A plane-wave DFT calculation with PBE-GGA was carried out for crystalline SiTeAs2 at its relaxed geometry.

Cell lengths 5.6028, 5.6075, 3.1805 Å; angles 78.97, 79.35, 116.56 degrees
Closest atoms and distances in Å follow each position.
Fractional positions:
As 0.5000 0.0000 0.5000  2 Te 2.95, 2 Si 2.95, 4 As 2.95-3.18
As 0.0000 0.0000 0.0000  2 Si 2.95, 2 Te 2.95, 4 As 2.95-3.18
Si 0.0000 0.5000 0.5000  4 As 2.95, 2 Te 2.95, 2 Si 3.18
Te 0.5000 0.5000 0.0000  4 As 2.95, 2 Si 2.95, 2 Te 3.18

Values from the calculation:
SG: C2/m (12)
size of the total moment: 0.0000 μB per atom

=====

b.
A plane-wave DFT calculation with PBE-GGA was carried out for crystalline SiTeAs2 at its relaxed geometry.

Cell lengths 4.9606, 4.9606, 3.3852 Å; angles 90.00, 90.00, 90.00 degrees
Closest atoms and distances in Å follow each position.
Fractional positions:
Si 0.5000 0.0000 0.5000  8 As 3.00
As 0.0000 0.0000 0.0000  4 Te 3.00, 4 Si 3.00
As 0.5000 0.5000 0.0000  4 Te 3.00, 4 Si 3.00
Te 0.0000 0.5000 0.5000  8 As 3.00

Values from the calculation:
SG: P4/mmm (123)
size of the total moment: 0.0000 μB per atom

=====

Energy ordering: b at the bottom, the next structure 0.006 eV/atom above.

=====

a.
A plane-wave DFT calculation with PBE-GGA was carried out for crystalline SiTeAs2 at its relaxed geometry.

Cell lengths 2.9481, 2.9481, 10.6077 Å; angles 90.00, 90.00, 106.98 degrees
Closest atoms and distances in Å follow each position.
Fractional positions:
Te 0.5000 0.5000 0.7500  4 Te 2.95
Si 0.5000 0.5000 0.2500  4 As 2.66, 4 Si 2.95
As 0.0000 0.0000 0.4389  2 Si 2.66, 4 As 2.95
As 0.0000 0.0000 0.0611  2 Si 2.66, 4 As 2.95

Values from the calculation:
SG: Cmmm (65)
size of the total moment: 0.0000 μB per atom

=====

b.
A plane-wave DFT calculation with PBE-GGA was carried out for crystalline SiTeAs2 at its relaxed geometry.

Cell lengths 6.3323, 6.3323, 6.3323 Å; angles 143.76, 143.76, 52.19 degrees
Closest atoms and distances in Å follow each position.
Fractional positions:
Te 0.7500 0.2500 0.5000  4 Si 2.79
As 0.5000 0.5000 0.0000  4 As 2.79
As 0.0000 0.0000 0.0000  4 As 2.79
Si 0.2500 0.7500 0.5000  4 Te 2.79

Values from the calculation:
SG: I4/mmm (139)
size of the total moment: 0.0000 μB per atom

=====

c.
A plane-wave DFT calculation with PBE-GGA was carried out for crystalline SiTeAs2 at its relaxed geometry.

Cell lengths 7.1364, 7.1364, 7.1364 Å; angles 31.28, 31.28, 31.28 degrees
Closest atoms and distances in Å follow each position.
Fractional positions:
As 0.5161 0.5161 0.5161  3 Si 2.61
As 0.9839 0.9839 0.9839  3 Si 2.61
Te 0.7500 0.7500 0.7500  6 As 3.00
Si 0.2500 0.2500 0.2500  6 As 2.61

Values from the calculation:
SG: R-3m (166)
size of the total moment: 0.0000 μB per atom

=====

Energy ordering: c at the bottom, the next structure 0.283 eV/atom above.

=====

a.
A plane-wave DFT calculation with PBE-GGA was carried out for crystalline SiTe3As at its relaxed geometry.

Cell lengths 5.2198, 5.2198, 5.2198 Å; angles 90.00, 90.00, 90.00 degrees
Closest atoms and distances in Å follow each position.
Fractional positions:
As 0.5000 0.5000 0.5000  12 Te 3.69
Te 0.0000 0.5000 0.0000  2 Si 2.61
Te 0.0000 0.0000 0.5000  2 Si 2.61
Te 0.5000 0.0000 0.0000  2 Si 2.61
Si 0.0000 0.0000 0.0000  6 Te 2.61

Values from the calculation:
SG: Pm-3m (221)
size of the total moment: 0.0000 μB per atom

=====

b.
A plane-wave DFT calculation with PBE-GGA was carried out for crystalline SiTe3As at its relaxed geometry.

Cell lengths 5.3966, 5.3966, 5.3966 Å; angles 90.00, 90.00, 90.00 degrees
Closest atoms and distances in Å follow each position.
Fractional positions:
Te 0.0000 0.0000 0.5000  2 As 2.70
Te 0.5000 0.0000 0.0000  2 As 2.70
Te 0.0000 0.5000 0.0000  2 As 2.70
As 0.0000 0.0000 0.0000  6 Te 2.70
Si 0.5000 0.5000 0.5000  12 Te 3.82

Values from the calculation:
SG: Pm-3m (221)
size of the total moment: 0.0000 μB per atom

=====

Energy ordering: a at the bottom, the next structure 0.110 eV/atom above.